Arrangement i

Compound: ErLuPu2
Source: Alexandria via LeMat-Bulk
Functional: GGA-PBE
Structure: optimized geometry

Cell lengths 3.369, 3.369, 10.009 Å; angles 90.00, 90.00, 90.00 degrees
Site moments in Bohr magnetons follow the coordinates.
Element x y z (fractional)
Er1 0.500 0.500 0.500  0.30
Lu1 0.500 0.500 0.000  0.31
Pu1 0.000 0.000 0.752  5.58
Pu2 0.000 0.000 0.248  5.58

Arrangement ii

Compound: ErLuPu2
Source: Alexandria via LeMat-Bulk
Functional: GGA-PBE
Structure: optimized geometry

Cell lengths 3.394, 3.394, 11.473 Å; angles 81.49, 81.49, 60.00 degrees
Site moments in Bohr magnetons follow the coordinates.
Element x y z (fractional)
Pu1 0.750 0.750 0.751  5.47
Pu2 0.250 0.250 0.249  5.47
Lu1 0.000 0.000 0.000  0.09
Er1 0.500 0.500 0.500  0.08

Name the most stable of them. arrangement i.

Arrangement i

Compound: Er2LuPu
Source: Alexandria via LeMat-Bulk
Functional: GGA-PBE
Structure: optimized geometry

Cell lengths 4.977, 4.977, 9.084 Å; angles 74.10, 74.10, 60.00 degrees
Site moments in Bohr magnetons follow the coordinates.
Element x y z (fractional)
Pu1 0.000 0.000 0.000  -5.97
Er1 0.124 0.124 0.627  -0.20
Er2 0.876 0.876 0.373  -0.20
Lu1 0.500 0.500 0.500  0.04

Arrangement ii

Compound: Er2LuPu
Source: Alexandria via LeMat-Bulk
Functional: GGA-PBE
Structure: optimized geometry

Cell lengths 4.890, 4.909, 4.909 Å; angles 90.00, 90.00, 90.00 degrees
Site moments in Bohr magnetons follow the coordinates.
Element x y z (fractional)
Pu1 0.500 0.500 0.500  5.46
Er1 0.000 0.000 0.500  0.17
Er2 0.000 0.500 0.000  0.17
Lu1 0.500 0.000 0.000  0.14

Name the most stable of them. arrangement ii.

Arrangement i

Compound: Er2LuPu
Source: Alexandria via LeMat-Bulk
Functional: GGA-PBE
Structure: optimized geometry

Cell lengths 3.447, 3.447, 9.900 Å; angles 90.00, 90.00, 90.00 degrees
Site moments in Bohr magnetons follow the coordinates.
Element x y z (fractional)
Er1 0.000 0.000 0.747  0.12
Er2 0.000 0.000 0.253  0.12
Pu1 0.500 0.500 0.500  5.55
Lu1 0.500 0.500 0.000  -0.13

Arrangement ii

Compound: Er2LuPu
Source: Alexandria via LeMat-Bulk
Functional: GGA-PBE
Structure: optimized geometry

Cell lengths 5.508, 5.508, 5.508 Å; angles 60.00, 60.00, 60.00 degrees
Site moments in Bohr magnetons follow the coordinates.
Element x y z (fractional)
Er1 0.750 0.750 0.750  0.31
Er2 0.250 0.250 0.250  0.31
Lu1 0.500 0.500 0.500  0.21
Pu1 0.000 0.000 0.000  5.57

Name the most stable of them. arrangement i.

Arrangement i

Compound: ErLu2Pu
Source: Alexandria via LeMat-Bulk
Functional: GGA-PBE
Structure: optimized geometry

Cell lengths 5.490, 5.490, 5.490 Å; angles 60.00, 60.00, 60.00 degrees
Site moments in Bohr magnetons follow the coordinates.
Element x y z (fractional)
Pu1 0.500 0.500 0.500  5.46
Lu1 0.250 0.250 0.250  0.13
Lu2 0.750 0.750 0.750  0.13
Er1 0.000 0.000 0.000  0.08

Arrangement ii

Compound: ErLu2Pu
Source: Alexandria via LeMat-Bulk
Functional: GGA-PBE
Structure: optimized geometry

Cell lengths 3.441, 3.441, 9.819 Å; angles 90.00, 90.00, 90.00 degrees
Site moments in Bohr magnetons follow the coordinates.
Element x y z (fractional)
Lu1 0.000 0.000 0.746  -0.16
Lu2 0.000 0.000 0.254  -0.16
Er1 0.500 0.500 0.000  0.07
Pu1 0.500 0.500 0.500  -5.55

Arrangement iii

Compound: ErLu2Pu
Source: Alexandria via LeMat-Bulk
Functional: GGA-PBE
Structure: optimized geometry

Cell lengths 4.891, 4.880, 4.880 Å; angles 90.00, 90.00, 90.00 degrees
Site moments in Bohr magnetons follow the coordinates.
Element x y z (fractional)
Pu1 0.500 0.500 0.500  -5.47
Lu1 0.000 0.000 0.500  -0.16
Lu2 0.000 0.500 0.000  -0.16
Er1 0.500 0.000 0.000  -0.19

Name the most stable of them. arrangement ii.